Computed, not measured: an optimized crystal structure of Tb5Al2Se2 at the PBE level of DFT.

Cell lengths 8.4408, 8.4408, 7.7836 Å; angles 90.00, 90.00, 54.64 degrees
With the nearest neighbours (Å) after each atom.
Fractional positions:
1 Tb 0.0000 0.0000 0.0000  2 Se 2.97, 4 Al 3.07-3.10
2 Tb 0.0298 0.6889 0.6630  3 Se 2.98-3.06, 3 Al 3.08-3.14
3 Tb 0.1889 0.5298 0.1630  3 Se 2.98-3.06, 3 Al 3.08-3.14
4 Tb 0.3111 0.9702 0.6630  3 Se 2.98-3.06, 3 Al 3.08-3.14
5 Tb 0.4702 0.8111 0.1630  3 Se 2.98-3.06, 3 Al 3.08-3.14
6 Tb 0.5000 0.5000 0.5000  2 Se 2.97, 4 Al 3.07-3.10
7 Tb 0.5298 0.1889 0.8370  3 Se 2.98-3.06, 3 Al 3.08-3.14
8 Tb 0.6889 0.0298 0.3370  3 Se 2.98-3.06, 3 Al 3.08-3.14
9 Tb 0.8111 0.4702 0.8370  3 Se 2.98-3.06, 3 Al 3.08-3.14
10 Tb 0.9702 0.3111 0.3370  3 Se 2.98-3.06, 3 Al 3.08-3.14
11 Al 0.1224 0.8776 0.3795  1 Al 2.67
12 Al 0.3776 0.6224 0.8795  1 Al 2.67
13 Al 0.6224 0.3776 0.1205  1 Al 2.67
14 Al 0.8776 0.1224 0.6205  1 Al 2.67
15 Se 0.1980 0.1980 0.0000  7 Tb 2.97-3.06
16 Se 0.3020 0.3020 0.5000  7 Tb 2.97-3.06
17 Se 0.6980 0.6980 0.5000  7 Tb 2.97-3.06
18 Se 0.8020 0.8020 0.0000  7 Tb 2.97-3.06

## Properties
Space-group type: Cmce
Formation energy without anion corrections: -0.9436 eV/atom